Entry 1:
## CaDy4Ga4 (PBE)

Data for CaDy4Ga4 after structural relaxation.

a b c (Å): 5.9267 9.2407 9.2407
angles (deg): 90.00 90.00 90.00
Closest atoms and distances in Å follow each position.
Element x y z (fractional)
1 Ca 0.0000 0.0000 0.0000  4 Ga 2.98
2 Ca 0.5000 0.5000 0.5000  4 Ga 2.98
3 Dy 0.3788 0.3302 0.9050  5 Ga 2.93-3.11
4 Dy 0.8788 0.5950 0.8302  5 Ga 2.93-3.11
5 Dy 0.3788 0.6698 0.0950  5 Ga 2.93-3.11
6 Dy 0.1212 0.1698 0.5950  5 Ga 2.93-3.11
7 Dy 0.6212 0.9050 0.6698  5 Ga 2.93-3.11
8 Dy 0.1212 0.8302 0.4050  5 Ga 2.93-3.11
9 Dy 0.8788 0.4050 0.1698  5 Ga 2.93-3.11
10 Dy 0.6212 0.0950 0.3302  5 Ga 2.93-3.11
11 Ga 0.6221 0.7792 0.3578  1 Ga 2.56
12 Ga 0.6221 0.2208 0.6422  1 Ga 2.56
13 Ga 0.1221 0.8578 0.7208  1 Ga 2.56
14 Ga 0.8779 0.2792 0.8578  1 Ga 2.56
15 Ga 0.8779 0.7208 0.1422  1 Ga 2.56
16 Ga 0.3779 0.3578 0.2208  1 Ga 2.56
17 Ga 0.3779 0.6422 0.7792  1 Ga 2.56
18 Ga 0.1221 0.1422 0.2792  1 Ga 2.56

Computed properties:
ΔH_f (0 K)	-34.1	kJ/mol of atoms
mass density	6.4	g cm⁻³

Entry 2:
## CaDy2Ga9 (PBE)

Data for CaDy2Ga9 after structural relaxation.

a b c (Å): 4.2965 4.2965 12.8796
angles (deg): 90.00 90.00 90.00
Closest atoms and distances in Å follow each position.
Element x y z (fractional)
1 Ca 0.0000 0.0000 0.0000  12 Ga 3.04-3.05
2 Dy 0.0000 0.0000 0.3359  12 Ga 3.01-3.05
3 Dy 0.0000 0.0000 0.6641  12 Ga 3.01-3.05
4 Ga 0.5000 0.5000 0.0000  4 Ca 3.04, 8 Ga 3.05
5 Ga 0.5000 0.5000 0.3335  8 Ga 3.03-3.04, 4 Dy 3.04
6 Ga 0.5000 0.5000 0.6665  8 Ga 3.03-3.04, 4 Dy 3.04
7 Ga 0.5000 0.0000 0.1680  8 Ga 3.03-3.05, 2 Dy 3.05, 2 Ca 3.05
8 Ga 0.5000 0.0000 0.5000  4 Dy 3.01, 8 Ga 3.04
9 Ga 0.5000 0.0000 0.8320  8 Ga 3.03-3.05, 2 Dy 3.05, 2 Ca 3.05
10 Ga 0.0000 0.5000 0.1680  8 Ga 3.03-3.05, 2 Dy 3.05, 2 Ca 3.05
11 Ga 0.0000 0.5000 0.5000  4 Dy 3.01, 8 Ga 3.04
12 Ga 0.0000 0.5000 0.8320  8 Ga 3.03-3.05, 2 Dy 3.05, 2 Ca 3.05

Computed properties:
ΔH_f (0 K)	-44.5	kJ/mol of atoms
mass density	6.9	g cm⁻³

Entry 3:
## CaDy2Ga6 (PBE)

Data for CaDy2Ga6 after structural relaxation.

a b c (Å): 4.1873 7.3305 7.3305
angles (deg): 120.00 90.00 90.00
Closest atoms and distances in Å follow each position.
Element x y z (fractional)
1 Ca 0.0000 0.0000 0.0000  12 Ga 3.23
2 Dy 0.0000 0.3333 0.6667  12 Ga 3.21
3 Dy 0.0000 0.6667 0.3333  12 Ga 3.21
4 Ga 0.5000 0.3353 0.3353  3 Ga 2.42-2.46
5 Ga 0.5000 0.6647 0.6647  3 Ga 2.42-2.46
6 Ga 0.5000 0.0000 0.6647  3 Ga 2.42-2.46
7 Ga 0.5000 0.6647 0.0000  3 Ga 2.42-2.46
8 Ga 0.5000 0.3353 0.0000  3 Ga 2.42-2.46
9 Ga 0.5000 0.0000 0.3353  3 Ga 2.42-2.46

Computed properties:
ΔH_f (0 K)	-55.7	kJ/mol of atoms
mass density	6.7	g cm⁻³

Entry 4:
## Ca3DyGa4 (PBE)

Data for Ca3DyGa4 after structural relaxation.

a b c (Å): 3.6210 3.6210 14.7729
angles (deg): 90.00 90.00 90.00
Closest atoms and distances in Å follow each position.
Element x y z (fractional)
1 Ca 0.5000 0.5000 0.2478  8 Ga 3.16-3.19
2 Ca 0.5000 0.5000 0.5000  8 Ga 3.17
3 Ca 0.5000 0.5000 0.7522  8 Ga 3.16-3.19
4 Ga 0.0000 0.0000 0.8810  4 Dy 3.11, 4 Ca 3.19
5 Ga 0.0000 0.0000 0.1190  4 Dy 3.11, 4 Ca 3.19
6 Ga 0.0000 0.0000 0.3730  8 Ca 3.16-3.17
7 Ga 0.0000 0.0000 0.6270  8 Ca 3.16-3.17
8 Dy 0.5000 0.5000 0.0000  8 Ga 3.11

Computed properties:
ΔH_f (0 K)	-45.6	kJ/mol of atoms
mass density	4.8	g cm⁻³

Entry 5:
## CaDy2Ga4 (PBE)

Data for CaDy2Ga4 after structural relaxation.

a b c (Å): 4.1475 4.3412 9.6750
angles (deg): 102.96 102.38 90.00
Closest atoms and distances in Å follow each position.
Element x y z (fractional)
1 Ca 0.5000 0.0000 0.0000  12 Ga 3.25-3.50
2 Ga 0.6495 0.6495 0.2989  2 Ga 2.56
3 Ga 0.3505 0.3505 0.7011  2 Ga 2.56
4 Ga 0.0676 0.5676 0.1352  3 Ga 2.49-2.56
5 Ga 0.9324 0.4324 0.8648  3 Ga 2.49-2.56
6 Dy 0.8146 0.8146 0.6293  7 Ga 3.04-3.07
7 Dy 0.1854 0.1854 0.3707  7 Ga 3.04-3.07

Computed properties:
ΔH_f (0 K)	-53.3	kJ/mol of atoms
mass density	6.5	g cm⁻³

Entry 6:
## CaDyGaGe (PBE)

Data for CaDyGaGe after structural relaxation.

a b c (Å): 4.3961 4.0572 5.8755
angles (deg): 90.00 111.97 90.00
Closest atoms and distances in Å follow each position.
Element x y z (fractional)
1 Ca 0.1406 0.0000 0.2812  3 Ge 3.05-3.25, 4 Ga 3.07
2 Dy 0.8632 0.5000 0.7263  4 Ge 3.06, 3 Ga 3.14-3.19
3 Ga 0.5754 0.5000 0.1507  2 Ge 2.64
4 Ge 0.4209 0.0000 0.8418  2 Ga 2.64

Computed properties:
ΔH_f (0 K)	-64.2	kJ/mol of atoms
mass density	5.9	g cm⁻³

Entry 7:
## CaDyGaGe (PBE)

Data for CaDyGaGe after structural relaxation.

a b c (Å): 5.1021 5.1021 5.1021
angles (deg): 60.00 60.00 60.00
Closest atoms and distances in Å follow each position.
Element x y z (fractional)
1 Ge 0.2500 0.2500 0.2500  4 Dy 3.12, 4 Ca 3.12
2 Ca 0.0000 0.0000 0.0000  4 Ge 3.12, 4 Ga 3.12
3 Ga 0.7500 0.7500 0.7500  4 Dy 3.12, 4 Ca 3.12
4 Dy 0.5000 0.5000 0.5000  4 Ga 3.12, 4 Ge 3.12

Computed properties:
ΔH_f (0 K)	-49.3	kJ/mol of atoms
mass density	6.1	g cm⁻³

Entry 8:
## Li2CaDy2Ga2 (PBE)

Data for Li2CaDy2Ga2 after structural relaxation.

a b c (Å): 4.6662 4.6662 9.3681
angles (deg): 75.58 75.58 60.00
Closest atoms and distances in Å follow each position.
Element x y z (fractional)
1 Li 0.6006 0.6006 0.1983  3 Ga 2.72
2 Li 0.3994 0.3994 0.8017  3 Ga 2.72
3 Ca 0.0000 0.0000 0.0000  6 Li 3.23, 2 Dy 3.44, 6 Ga 3.45
4 Dy 0.1278 0.1278 0.6165  3 Ga 2.99, 3 Li 3.17
5 Dy 0.8722 0.8722 0.3835  3 Ga 2.99, 3 Li 3.17
6 Ga 0.7465 0.7465 0.7605  3 Li 2.72, 3 Dy 2.99
7 Ga 0.2535 0.2535 0.2395  3 Li 2.72, 3 Dy 2.99

Computed properties:
ΔH_f (0 K)	-24.3	kJ/mol of atoms
mass density	5.1	g cm⁻³

Entry 9:
## LiCaDyGa (PBE)

Data for LiCaDyGa after structural relaxation.

a b c (Å): 5.1764 5.1764 5.1764
angles (deg): 60.00 60.00 60.00
Closest atoms and distances in Å follow each position.
Element x y z (fractional)
1 Ca 0.5000 0.5000 0.5000  4 Li 3.17, 4 Ga 3.17
2 Li 0.7500 0.7500 0.7500  4 Dy 3.17, 4 Ca 3.17
3 Ga 0.2500 0.2500 0.2500  4 Dy 3.17, 4 Ca 3.17
4 Dy 0.0000 0.0000 0.0000  4 Ga 3.17, 4 Li 3.17

Computed properties:
ΔH_f (0 K)	-25.7	kJ/mol of atoms
mass density	4.7	g cm⁻³

Entry 10:
## CaDyMgGa (PBE)

Data for CaDyMgGa after structural relaxation.

a b c (Å): 5.2451 5.2451 5.2451
angles (deg): 60.00 60.00 60.00
Closest atoms and distances in Å follow each position.
Element x y z (fractional)
1 Ca 0.5000 0.5000 0.5000  4 Mg 3.21, 4 Ga 3.21
2 Mg 0.7500 0.7500 0.7500  4 Dy 3.21, 4 Ca 3.21
3 Ga 0.2500 0.2500 0.2500  4 Dy 3.21, 4 Ca 3.21
4 Dy 0.0000 0.0000 0.0000  4 Mg 3.21, 4 Ga 3.21

Computed properties:
ΔH_f (0 K)	-27.8	kJ/mol of atoms
mass density	4.8	g cm⁻³

Entry 11:
## NaCaDyGa (PBE)

Data for NaCaDyGa after structural relaxation.

a b c (Å): 5.3194 5.3194 5.3194
angles (deg): 60.00 60.00 60.00
Closest atoms and distances in Å follow each position.
Element x y z (fractional)
1 Na 0.2500 0.2500 0.2500  4 Ca 3.26, 4 Dy 3.26
2 Ca 0.5000 0.5000 0.5000  4 Ga 3.26, 4 Na 3.26
3 Ga 0.7500 0.7500 0.7500  4 Ca 3.26, 4 Dy 3.26
4 Dy 0.0000 0.0000 0.0000  4 Na 3.26, 4 Ga 3.26

Computed properties:
ΔH_f (0 K)	-11.7	kJ/mol of atoms
mass density	4.6	g cm⁻³

Entry 12:
## CaDyGaPb (PBE)

Data for CaDyGaPb after structural relaxation.

a b c (Å): 5.3249 5.3249 5.3249
angles (deg): 60.00 60.00 60.00
Closest atoms and distances in Å follow each position.
Element x y z (fractional)
1 Pb 0.7500 0.7500 0.7500  4 Ca 3.26, 4 Dy 3.26
2 Ca 0.5000 0.5000 0.5000  4 Pb 3.26, 4 Ga 3.26
3 Ga 0.2500 0.2500 0.2500  4 Dy 3.26, 4 Ca 3.26
4 Dy 0.0000 0.0000 0.0000  4 Ga 3.26, 4 Pb 3.26

Computed properties:
ΔH_f (0 K)	-41.1	kJ/mol of atoms
mass density	7.5	g cm⁻³

Entry 13:
## CaDyGa2Pd5 (PBE)

Data for CaDyGa2Pd5 after structural relaxation.

a b c (Å): 4.2496 4.2496 9.1011
angles (deg): 90.00 90.00 90.00
Closest atoms and distances in Å follow each position.
Element x y z (fractional)
1 Ca 0.0000 0.0000 0.5000  12 Pd 2.96-3.00
2 Dy 0.0000 0.0000 0.0000  8 Ga 3.25, 8 Pd 3.27
3 Ga 0.5000 0.5000 0.1360  4 Pd 2.46, 1 Ga 2.48
4 Ga 0.5000 0.5000 0.8640  4 Pd 2.46, 1 Ga 2.48
5 Pd 0.0000 0.5000 0.2728  2 Ga 2.46
6 Pd 0.5000 0.0000 0.2728  2 Ga 2.46
7 Pd 0.0000 0.5000 0.7272  2 Ga 2.46
8 Pd 0.5000 0.0000 0.7272  2 Ga 2.46
9 Pd 0.5000 0.5000 0.5000  8 Pd 2.96, 4 Ca 3.00, 2 Ga 3.31

Computed properties:
ΔH_f (0 K)	-68.2	kJ/mol of atoms
mass density	8.8	g cm⁻³

Entry 14:
## CaDyGaPd (PBE)

Data for CaDyGaPd after structural relaxation.

a b c (Å): 3.8931 4.4237 5.8774
angles (deg): 90.00 109.34 90.00
Closest atoms and distances in Å follow each position.
Element x y z (fractional)
1 Ca 0.1460 0.0000 0.2920  4 Ga 3.07, 3 Pd 3.11-3.12
2 Dy 0.8582 0.5000 0.7163  4 Pd 3.04, 3 Ga 3.05-3.20
3 Ga 0.5697 0.5000 0.1394  2 Pd 2.73, 2 Dy 3.05
4 Pd 0.4261 0.0000 0.8522  2 Ga 2.73, 4 Dy 3.04

Computed properties:
ΔH_f (0 K)	-61.7	kJ/mol of atoms
mass density	6.6	g cm⁻³

Entry 15:
## CaDyGaPd (PBE)

Data for CaDyGaPd after structural relaxation.

a b c (Å): 5.0391 5.0391 5.0391
angles (deg): 60.00 60.00 60.00
Closest atoms and distances in Å follow each position.
Element x y z (fractional)
1 Ca 0.5000 0.5000 0.5000  4 Pd 3.09, 4 Ga 3.09
2 Ga 0.7500 0.7500 0.7500  4 Dy 3.09, 4 Ca 3.09
3 Pd 0.2500 0.2500 0.2500  4 Dy 3.09, 4 Ca 3.09
4 Dy 0.0000 0.0000 0.0000  4 Ga 3.09, 4 Pd 3.09

Computed properties:
ΔH_f (0 K)	-59.4	kJ/mol of atoms
mass density	7.0	g cm⁻³

Entry 16:
## CaDyGaRu (PBE)

Data for CaDyGaRu after structural relaxation.

a b c (Å): 4.9448 4.9448 4.9448
angles (deg): 60.00 60.00 60.00
Closest atoms and distances in Å follow each position.
Element x y z (fractional)
1 Ru 0.2500 0.2500 0.2500  4 Dy 3.03, 4 Ca 3.03
2 Ca 0.0000 0.0000 0.0000  4 Ru 3.03, 4 Ga 3.03
3 Ga 0.7500 0.7500 0.7500  4 Ca 3.03, 4 Dy 3.03
4 Dy 0.5000 0.5000 0.5000  4 Ru 3.03, 4 Ga 3.03

Computed properties:
ΔH_f (0 K)	-20.4	kJ/mol of atoms
mass density	7.3	g cm⁻³

Entry 17:
## CaDyGaS4 (PBE)

Data for CaDyGaS4 after structural relaxation.

a b c (Å): 7.6762 7.7820 7.7820
angles (deg): 60.82 60.45 60.45
Closest atoms and distances in Å follow each position.
Element x y z (fractional)
1 Ca 0.5000 0.0000 0.5000  6 S 2.79-2.81
2 Ca 0.0000 0.0000 0.5000  6 S 2.79-2.81
3 Dy 0.0000 0.0000 0.0000  6 S 2.73-2.75
4 Dy 0.0000 0.5000 0.5000  6 S 2.73-2.75
5 Ga 0.6340 0.6160 0.1160  4 S 2.31-2.38
6 Ga 0.3660 0.3840 0.8840  4 S 2.31-2.38
7 S 0.7521 0.7409 0.7550  1 Ga 2.31
8 S 0.2479 0.7450 0.7591  1 Ga 2.31
9 S 0.7521 0.2550 0.2409  1 Ga 2.31
10 S 0.2479 0.2591 0.2450  1 Ga 2.31
11 S 0.2556 0.7451 0.2451  1 Ga 2.38
12 S 0.7543 0.7451 0.2451  1 Ga 2.38
13 S 0.2457 0.2549 0.7549  1 Ga 2.38
14 S 0.7444 0.2549 0.7549  1 Ga 2.38

Computed properties:
E_form (uncorrected)	-1023.4	kJ/mol of formula units
mass density	4.0	g cm⁻³

Entry 18:
## CaDyZn2Ga2 (PBE)

Data for CaDyZn2Ga2 after structural relaxation.

a b c (Å): 4.4697 4.4697 7.3296
angles (deg): 90.00 90.00 120.00
Closest atoms and distances in Å follow each position.
Element x y z (fractional)
1 Ca 0.0000 0.0000 0.0000  6 Zn 3.28, 6 Ga 3.29, 2 Dy 3.66
2 Dy 0.0000 0.0000 0.5000  6 Ga 3.05, 6 Zn 3.06
3 Zn 0.6667 0.3333 0.2768  3 Ga 2.58
4 Zn 0.3333 0.6667 0.7232  3 Ga 2.58
5 Ga 0.6667 0.3333 0.7219  3 Zn 2.58
6 Ga 0.3333 0.6667 0.2781  3 Zn 2.58

Computed properties:
ΔH_f (0 K)	-48.3	kJ/mol of atoms
mass density	6.2	g cm⁻³

Entry 19:
## CaGdDy2 (PBE)

Data for CaGdDy2 after structural relaxation.

a b c (Å): 3.5429 3.5429 12.7303
angles (deg): 82.00 82.00 60.00
Closest atoms and distances in Å follow each position.
Element x y z (fractional)
1 Ca 0.0000 0.0000 0.0000  2 Dy 3.43, 6 Ca 3.54
2 Gd 0.5000 0.5000 0.5000  6 Dy 3.51, 6 Gd 3.54
3 Dy 0.0909 0.0909 0.7272  1 Ca 3.43, 3 Gd 3.51, 6 Dy 3.54
4 Dy 0.9091 0.9091 0.2728  1 Ca 3.43, 3 Gd 3.51, 6 Dy 3.54

Computed properties:
ΔH_f (0 K)	16.1	kJ/mol of atoms
mass density	6.4	g cm⁻³

Entry 20:
## CaGdDy2 (PBE)

Data for CaGdDy2 after structural relaxation.

a b c (Å): 5.7449 5.7449 5.7449
angles (deg): 60.00 60.00 60.00
Closest atoms and distances in Å follow each position.
Element x y z (fractional)
1 Ca 0.5000 0.5000 0.5000  8 Dy 3.52
2 Gd 0.0000 0.0000 0.0000  8 Dy 3.52
3 Dy 0.2500 0.2500 0.2500  4 Gd 3.52, 4 Ca 3.52
4 Dy 0.7500 0.7500 0.7500  4 Gd 3.52, 4 Ca 3.52

Computed properties:
ΔH_f (0 K)	15.9	kJ/mol of atoms
mass density	6.5	g cm⁻³